Entry from Alexandria: a relaxed structure of ZnCr5O7 (PBE+U).

Unit cell a=5.3303 b=5.3303 c=18.4201 alpha=90.00 beta=90.00 gamma=147.39
Positions (direct):
Zn1 0.2090 0.7910 0.2500
Zn2 0.7910 0.2090 0.7500
Cr1 0.7277 0.2723 0.0778
Cr2 0.5380 0.4620 0.6555
Cr3 0.0000 0.0000 0.0000
Cr4 0.0000 0.0000 0.5000
Cr5 0.4620 0.5380 0.3445
Cr6 0.2723 0.7277 0.9222
Cr7 0.2723 0.7277 0.5778
Cr8 0.7277 0.2723 0.4222
Cr9 0.4620 0.5380 0.1555
Cr10 0.5380 0.4620 0.8445
O1 0.3689 0.6311 0.4764
O2 0.6311 0.3689 0.5236
O3 0.6311 0.3689 0.9764
O4 0.3689 0.6311 0.0236
O5 0.8257 0.1743 0.3267
O6 0.1743 0.8257 0.6733
O7 0.1743 0.8257 0.8267
O8 0.8257 0.1743 0.1733
O9 0.0710 0.9290 0.3959
O10 0.9290 0.0710 0.6041
O11 0.9290 0.0710 0.8959
O12 0.0710 0.9290 0.1041
O13 0.5707 0.4293 0.2500
O14 0.4293 0.5707 0.7500

Properties
- E: -7.224 eV/atom